Computed, not measured: SrCaMo2 after structural relaxation at the GGA-PBEsol level of DFT.

POSCAR file:
```
SrCaMo2
1.0
3.9979 0.0000 0.0000
0.0000 3.9979 0.0000
0.0000 0.0000 6.6650
Sr Mo Ca
1 2 1
direct
0.5000 0.5000 0.0000
0.0000 0.0000 0.6589
0.0000 0.0000 0.3411
0.5000 0.5000 0.5000
```

Formation energy in eV per atom: 1.06
Space group: No. 123
Total energy in eV/cell: -23.3
ΔE to the lowest computed polymorph in eV/f.u.: 0.58